First-principles (PBE) data for LiScPb after structural relaxation, as listed in Alexandria via LeMat-Bulk.

Unit cell a=3.3673 b=3.3673 c=7.5329 alpha=90.00 beta=90.00 gamma=120.00
Space group P3m1 (No. 156)
Unique sites:
Li: 0.0000 0.0000 0.0000 x1
Sc: 0.3333 0.6667 0.6490 x1
Pb: 0.6667 0.3333 0.3106 x1

Output
Density of states at the Fermi level: 3.00 states/eV per cell
Total DFT energy (no corrections): -4.025 eV per atom

***

First-principles (PBE) data for ScIrPd2I after structural relaxation, as listed in Alexandria via LeMat-Bulk.

Unit cell a=4.6683 b=4.6683 c=5.2985 alpha=90.00 beta=90.00 gamma=90.00
Space group P4/mmm (No. 123)
Unique sites:
Sc: 0.0000 0.0000 0.0000 x1
Ir: 0.5000 0.5000 0.5000 x1
Pd: 0.0000 0.5000 0.0000 x2
I: 0.0000 0.0000 0.5000 x1

Output
E_form (uncorrected): 1009 meV per atom
Density of states at the Fermi level: 3.01 states/eV per cell

***

First-principles (PBE) data for Nd7Te2C2 after structural relaxation, as listed in Alexandria via LeMat-Bulk.

Unit cell a=8.1108 b=11.9459 c=7.8703 alpha=90.00 beta=98.24 gamma=90.00
Space group C2/m (No. 12)
Unique sites:
Nd: 0.0000 0.0000 0.0000 x2
Nd: 0.0878 0.5000 0.8084 x4
Nd: 0.2383 0.3082 0.2143 x8
Te: 0.0000 0.3143 0.5000 x4
C: 0.2099 0.5000 0.1180 x4

Output
E_form (uncorrected): -318 meV per atom
Density of states at the Fermi level: 20.78 states/eV per cell

***

First-principles (PBE) data for Fe2HgSb after structural relaxation, as listed in Alexandria via LeMat-Bulk.

Unit cell a=3.5608 b=4.0247 c=5.2593 alpha=90.00 beta=109.58 gamma=90.00
Space group Pm (No. 6)
Unique sites:
Fe: 0.0000 0.0000 0.0000 x1
Fe: 0.1402 0.5000 0.2788 x1
Hg: 0.7198 0.0000 0.4384 x1
Sb: 0.4272 0.5000 0.8518 x1

Output
E_form (uncorrected): 331 meV per atom
Density of states at the Fermi level: 3.74 states/eV per cell

***

First-principles (PBE) data for Ce3Mg2Rh4 after structural relaxation, as listed in Alexandria via LeMat-Bulk.

Unit cell a=10.3668 b=9.5441 c=7.9502 alpha=90.00 beta=103.44 gamma=90.00
Space group C2/c (No. 15)
Unique sites:
Ce: 0.0000 0.1231 0.2500 x4
Ce: 0.1510 0.3943 0.5790 x8
Mg: 0.1320 0.1754 0.9223 x8
Rh: 0.1231 0.3689 0.1919 x8
Rh: 0.1274 0.0866 0.5892 x8

Output
Energy above the lowest structure with this stoichiometry: 20 meV/atom
Density of states at the Fermi level: 47.69 states/eV per cell

***

First-principles (PBE) data for K4YMg after structural relaxation, as listed in Alexandria via LeMat-Bulk.

Unit cell a=10.5839 b=10.5839 c=10.5839 alpha=90.00 beta=90.00 gamma=90.00
Space group F-43m (No. 216)
Unique sites:
K: 0.1245 0.1245 0.1245 x16
Y: 0.0000 0.0000 0.5000 x4
Mg: 0.2500 0.2500 0.7500 x4

Output
Density of states at the Fermi level: 34.23 states/eV per cell
Total DFT energy (no corrections): -1.509 eV per atom

***

First-principles (PBE) data for Ca3Ga5Ag6 after structural relaxation, as listed in Alexandria via LeMat-Bulk.

Unit cell a=4.5756 b=13.6171 c=9.2546 alpha=90.00 beta=90.00 gamma=90.00
Space group Pmmn (No. 59, origin choice 2)
Unique sites:
Ca: 0.2500 0.0473 0.2479 x4
Ca: 0.2500 0.7500 0.2539 x2
Ga: 0.2500 0.0839 0.6000 x4
Ga: 0.2500 0.6196 0.9672 x4
Ga: 0.2500 0.7500 0.7518 x2
Ag: 0.2500 0.0814 0.8856 x4
Ag: 0.2500 0.2500 0.0632 x2
Ag: 0.2500 0.2500 0.4321 x2
Ag: 0.2500 0.6165 0.5333 x4

Output
Density of states at the Fermi level: 7.94 states/eV per cell
Total DFT energy (no corrections): -3.047 eV per atom

***

First-principles (PBE) data for BaLi2SiAg after structural relaxation, as listed in Alexandria via LeMat-Bulk.

Unit cell a=4.9987 b=4.9987 c=4.9524 alpha=90.00 beta=90.00 gamma=90.00
Space group P4/mmm (No. 123)
Unique sites:
Ba: 0.0000 0.0000 0.0000 x1
Li: 0.0000 0.5000 0.5000 x2
Si: 0.5000 0.5000 0.5000 x1
Ag: 0.5000 0.5000 0.0000 x1

Output
Energy above the lowest structure with this stoichiometry: 0 meV/atom
E_form (uncorrected): -145 meV per atom
Density of states at the Fermi level: 2.05 states/eV per cell

***

First-principles (PBE) data for K2Li3BiF12 after structural relaxation, as listed in Alexandria via LeMat-Bulk.

Unit cell a=7.0302 b=7.0302 c=20.3873 alpha=90.00 beta=90.00 gamma=120.00
Space group R-3m (No. 166, hexagonal axes)
Unique sites:
K: 0.0000 0.0000 0.0868 x6
Li: 0.0000 0.5000 0.0000 x9
Bi: 0.0000 0.0000 0.5000 x3
F: 0.0529 0.5264 0.1111 x18
F: 0.0613 0.5306 0.3550 x18

Output
E_form (uncorrected): -2164 meV per atom
Density of states at the Fermi level: 26.19 states/eV per cell

***

First-principles (PBE) data for Mg3AsRh4 after structural relaxation, as listed in Alexandria via LeMat-Bulk.

Unit cell a=4.3517 b=4.3517 c=12.4067 alpha=90.00 beta=90.00 gamma=90.00
Space group I4/mmm (No. 139)
Unique sites:
Mg: 0.0000 0.0000 0.0000 x2
Mg: 0.0000 0.0000 0.2474 x4
As: 0.0000 0.0000 0.5000 x2
Rh: 0.0000 0.5000 0.1187 x8

Output
Density of states at the Fermi level: 3.59 states/eV per cell
Total DFT energy (no corrections): -5.429 eV per atom

***

First-principles (PBE) data for YBeP2 after structural relaxation, as listed in Alexandria via LeMat-Bulk.

Unit cell a=6.5551 b=6.5551 c=6.5316 alpha=90.00 beta=90.00 gamma=90.00
Space group I-42d (No. 122)
Unique sites:
Y: 0.0000 0.0000 0.0000 x4
Be: 0.0000 0.0000 0.5000 x4
P: 0.1696 0.2500 0.6250 x8

Output
Density of states at the Fermi level: 2.05 states/eV per cell
Total DFT energy (no corrections): -5.946 eV per atom

***

First-principles (PBE) data for CeNdGe2 after structural relaxation, as listed in Alexandria via LeMat-Bulk.

Unit cell a=4.4066 b=4.4066 c=19.9484 alpha=90.00 beta=90.00 gamma=120.00
Space group R3m (No. 160, hexagonal axes)
Unique sites:
Ce: 0.0000 0.0000 0.0000 x3
Nd: 0.0000 0.0000 0.1720 x3
Ge: 0.0000 0.0000 0.4157 x3
Ge: 0.0000 0.0000 0.5850 x3

Output
Density of states at the Fermi level: 17.86 states/eV per cell
Total DFT energy (no corrections): -5.519 eV per atom

***

First-principles (PBE) data for Sr4Ti3BiO12 after structural relaxation, as listed in Alexandria via LeMat-Bulk.

Unit cell a=8.1141 b=8.1141 c=8.1141 alpha=90.00 beta=90.00 gamma=90.00
Space group Im-3m (No. 229)
Unique sites:
Sr: 0.2500 0.2500 0.2500 x8
Ti: 0.0000 0.0000 0.5000 x6
Bi: 0.0000 0.0000 0.0000 x2
O: 0.0000 0.0000 0.2653 x12
O: 0.0000 0.2500 0.5000 x12

Output
E_form (uncorrected): -2716 meV per atom
Density of states at the Fermi level: 0.53 states/eV per cell

***

First-principles (PBE) data for Ho4ErSc4 after structural relaxation, as listed in Alexandria via LeMat-Bulk.

Unit cell a=10.2182 b=10.2182 c=4.8111 alpha=90.00 beta=90.00 gamma=90.00
Space group I4/mmm (No. 139)
Unique sites:
Ho: 0.0000 0.3290 0.0000 x8
Er: 0.0000 0.0000 0.0000 x2
Sc: 0.1663 0.1663 0.5000 x8

Output
Density of states at the Fermi level: 27.57 states/eV per cell
Total DFT energy (no corrections): -5.304 eV per atom

***

First-principles (PBE) data for SrHfIr3 after structural relaxation, as listed in Alexandria via LeMat-Bulk.

Unit cell a=4.9272 b=4.9272 c=4.9272 alpha=90.00 beta=90.00 gamma=90.00
Space group Pm-3m (No. 221)
Unique sites:
Sr: 0.0000 0.0000 0.0000 x1
Hf: 0.5000 0.5000 0.5000 x1
Ir: 0.0000 0.5000 0.5000 x3

Output
Energy above the lowest structure with this stoichiometry: 0 meV/atom
Density of states at the Fermi level: 5.88 states/eV per cell

***

First-principles (PBE) data for InAg3F after structural relaxation, as listed in Alexandria via LeMat-Bulk.

Unit cell a=4.6671 b=4.6671 c=4.6671 alpha=90.00 beta=90.00 gamma=90.00
Space group Pm-3m (No. 221)
Unique sites:
In: 0.0000 0.0000 0.0000 x1
Ag: 0.0000 0.5000 0.5000 x3
F: 0.5000 0.5000 0.5000 x1

Output
Energy above the lowest structure with this stoichiometry: 0 meV/atom
E_form (uncorrected): -124 meV per atom
Density of states at the Fermi level: 1.29 states/eV per cell

***

First-principles (PBE) data for NpSbO6 after structural relaxation, as listed in Alexandria via LeMat-Bulk.

Unit cell a=4.8168 b=4.8168 c=8.1215 alpha=90.00 beta=90.00 gamma=90.00
Space group P4_2/m (No. 84)
Unique sites:
Np: 0.0000 0.0000 0.2500 x2
Sb: 0.5000 0.5000 0.0000 x2
O: 0.2083 0.7887 0.0000 x4
O: 0.2733 0.7239 0.3331 x8

Output
E_form (uncorrected): -1705 meV per atom

***

First-principles (PBE) data for RbBa2Sn2As4 after structural relaxation, as listed in Alexandria via LeMat-Bulk.

Unit cell a=17.0205 b=4.9440 c=7.5155 alpha=90.00 beta=110.10 gamma=90.00
Space group C2/m (No. 12)
Unique sites:
Rb: 0.0000 0.0000 0.0000 x2
Ba: 0.1323 0.0000 0.5603 x4
Sn: 0.1659 0.5000 0.9873 x4
As: 0.0085 0.5000 0.6724 x4
As: 0.2184 0.0000 0.1930 x4

Output
Density of states at the Fermi level: 3.35 states/eV per cell
Total DFT energy (no corrections): -4.097 eV per atom

***

First-principles (PBE) data for La4Ce3UN8 after structural relaxation, as listed in Alexandria via LeMat-Bulk.

Unit cell a=7.2197 b=7.2197 c=17.8845 alpha=90.00 beta=90.00 gamma=120.00
Space group R-3m (No. 166, hexagonal axes)
Unique sites:
La: 0.0000 0.0000 0.0000 x3
La: 0.0000 0.5000 0.0000 x9
Ce: 0.0000 0.5000 0.5000 x9
U: 0.0000 0.0000 0.5000 x3
N: 0.0000 0.0000 0.2404 x6
N: 0.0246 0.5123 0.2368 x18

Output
E_form (uncorrected): -1435 meV per atom
Density of states at the Fermi level: 32.56 states/eV per cell

***

First-principles (PBE) data for K2TlSe after structural relaxation, as listed in Alexandria via LeMat-Bulk.

Unit cell a=5.1255 b=5.1255 c=10.0521 alpha=90.00 beta=90.00 gamma=90.00
Space group I4/mmm (No. 139)
Unique sites:
K: 0.0000 0.5000 0.2500 x4
Tl: 0.0000 0.0000 0.0000 x2
Se: 0.0000 0.0000 0.5000 x2

Output
Energy above the lowest structure with this stoichiometry: 117 meV/atom
E_form (uncorrected): -500 meV per atom
Density of states at the Fermi level: 0.56 states/eV per cell